Entry P
DFT (PBE-GGA) results for AgPtRh2 after structural relaxation.

SG = Pmm2

Cell: 2.7738 3.8818 5.7234 Å, 90.00 90.00 90.00°
Closest atoms and distances in Å follow each position.
Atoms (fractional coordinates):
Pt 0.5000 0.5000 0.7609  5 Rh 2.69-2.78, 2 Pt 2.77, 4 Ag 2.82
Rh 0.0000 0.0000 0.0087  6 Rh 2.70-2.77, 4 Pt 2.78, 2 Ag 2.81-2.92
Rh 0.5000 0.5000 0.2312  1 Pt 2.69, 6 Rh 2.70-2.77, 4 Ag 2.84
Ag 0.0000 0.0000 0.4992  2 Ag 2.77, 6 Rh 2.81-2.92, 4 Pt 2.82


Entry Q
DFT (PBE-GGA) results for AgPtRh2 after structural relaxation.

SG = F-43m

Cell: 4.4489 4.4489 4.4489 Å, 60.00 60.00 60.00°
Closest atoms and distances in Å follow each position.
Atoms (fractional coordinates):
Rh 0.0000 0.0000 0.0000  4 Rh 2.72, 4 Pt 2.72
Rh 0.7500 0.7500 0.7500  4 Rh 2.72, 4 Ag 2.72
Pt 0.2500 0.2500 0.2500  4 Rh 2.72, 4 Ag 2.72
Ag 0.5000 0.5000 0.5000  4 Rh 2.72, 4 Pt 2.72


Entry R
DFT (PBE-GGA) results for AgPtRh2 after structural relaxation.

SG = Immm

Cell: 5.5212 5.5212 5.5212 Å, 150.94 129.24 59.56°
Closest atoms and distances in Å follow each position.
Atoms (fractional coordinates):
Rh 0.2638 0.2638 0.0000  2 Pt 2.65, 6 Rh 2.75-2.77, 2 Ag 2.88
Rh 0.7362 0.7362 0.0000  2 Pt 2.65, 6 Rh 2.75-2.77, 2 Ag 2.88
Pt 0.5000 0.0000 0.5000  4 Rh 2.65, 4 Ag 2.74, 2 Pt 2.77
Ag 0.0000 0.5000 0.5000  4 Pt 2.74, 2 Ag 2.77, 4 Rh 2.88


Of them, the most stable is entry P and the least stable is entry Q.


Entry P
DFT (PBE-GGA) results for AgPt2Rh2 after structural relaxation.

SG = P4/mbm

Cell: 7.7242 7.7242 2.7543 Å, 90.00 90.00 90.00°
Closest atoms and distances in Å follow each position.
Atoms (fractional coordinates):
Rh 0.6750 0.8250 0.5000  6 Pt 2.59-2.72, 2 Rh 2.75
Pt 0.6237 0.1237 0.0000  6 Rh 2.59-2.72, 3 Pt 2.70-2.75
Rh 0.1750 0.6750 0.5000  6 Pt 2.59-2.72, 2 Rh 2.75
Pt 0.8763 0.6237 0.0000  6 Rh 2.59-2.72, 3 Pt 2.70-2.75
Ag 0.0000 0.0000 0.0000  2 Ag 2.75, 4 Pt 3.06
Rh 0.3250 0.1750 0.5000  6 Pt 2.59-2.72, 2 Rh 2.75
Ag 0.5000 0.5000 0.0000  2 Ag 2.75, 4 Pt 3.06
Pt 0.1237 0.3763 0.0000  6 Rh 2.59-2.72, 3 Pt 2.70-2.75
Pt 0.3763 0.8763 0.0000  6 Rh 2.59-2.72, 3 Pt 2.70-2.75
Rh 0.8250 0.3250 0.5000  6 Pt 2.59-2.72, 2 Rh 2.75


Entry Q
DFT (PBE-GGA) results for AgPt2Rh2 after structural relaxation.

SG = P4/mbm

Cell: 7.7238 7.7238 2.7475 Å, 90.00 90.00 90.00°
Closest atoms and distances in Å follow each position.
Atoms (fractional coordinates):
Pt 0.1782 0.6782 0.5000  6 Rh 2.60-2.72, 2 Pt 2.75
Rh 0.8801 0.6199 0.0000  6 Pt 2.60-2.72, 3 Rh 2.62-2.75
Pt 0.6782 0.8218 0.5000  6 Rh 2.60-2.72, 2 Pt 2.75
Pt 0.8218 0.3218 0.5000  6 Rh 2.60-2.72, 2 Pt 2.75
Ag 0.0000 0.0000 0.0000  2 Ag 2.75
Rh 0.3801 0.8801 0.0000  6 Pt 2.60-2.72, 3 Rh 2.62-2.75
Ag 0.5000 0.5000 0.0000  2 Ag 2.75
Rh 0.1199 0.3801 0.0000  6 Pt 2.60-2.72, 3 Rh 2.62-2.75
Rh 0.6199 0.1199 0.0000  6 Pt 2.60-2.72, 3 Rh 2.62-2.75
Pt 0.3218 0.1782 0.5000  6 Rh 2.60-2.72, 2 Pt 2.75


Of them, the most stable is entry Q and the least stable is entry P.


Entry P
DFT (PBE-GGA) results for AgPtRh after structural relaxation.

SG = R-3m

Cell: 4.3278 4.3278 7.1134 Å, 90.00 72.29 60.00°
Closest atoms and distances in Å follow each position.
Atoms (fractional coordinates):
Rh 0.8558 0.8429 0.2554  3 Rh 2.54, 3 Pt 2.72, 1 Ag 2.83
Pt 0.2963 0.1227 0.0947  1 Pt 2.61, 3 Rh 2.72, 4 Ag 2.76-2.81
Rh 0.4753 0.5332 0.3262  3 Rh 2.54, 3 Pt 2.72, 1 Ag 2.83
Ag 0.7585 0.3916 0.9014  4 Pt 2.76-2.81, 1 Rh 2.83, 3 Ag 2.90
Pt 0.0348 0.2534 0.4869  1 Pt 2.61, 3 Rh 2.72, 4 Ag 2.76-2.81
Ag 0.5726 0.9845 0.6802  4 Pt 2.76-2.81, 1 Rh 2.83, 3 Ag 2.90


Entry Q
DFT (PBE-GGA) results for AgPtRh after structural relaxation.

SG = C2/m

Cell: 2.7877 2.7871 15.7776 Å, 110.69 122.02 89.90°
Closest atoms and distances in Å follow each position.
Atoms (fractional coordinates):
Rh 0.4734 0.3992 0.0747  8 Rh 2.68-2.79, 4 Pt 2.76
Pt 0.4496 0.2166 0.2334  4 Rh 2.76, 4 Pt 2.79, 4 Ag 2.91-2.92
Rh 0.5266 0.6008 0.9253  8 Rh 2.68-2.79, 4 Pt 2.76
Pt 0.5504 0.7834 0.7666  4 Rh 2.76, 4 Pt 2.79, 4 Ag 2.91-2.92
Ag 0.5212 0.9309 0.5904  8 Ag 2.79-2.96, 4 Pt 2.91-2.92
Ag 0.4788 0.0691 0.4096  8 Ag 2.79-2.96, 4 Pt 2.91-2.92


Entry R
DFT (PBE-GGA) results for AgPtRh after structural relaxation.

SG = Fmm2

Cell: 7.6419 7.3952 2.7498 Å, 84.57 74.44 20.99°
Closest atoms and distances in Å follow each position.
Atoms (fractional coordinates):
Ag 0.0017 0.0017 0.9983  6 Ag 2.75-2.78, 2 Rh 2.79, 2 Pt 2.86
Rh 0.6687 0.6687 0.3313  2 Pt 2.72, 6 Rh 2.75-2.78, 2 Ag 2.79
Pt 0.3296 0.3296 0.6704  2 Rh 2.72, 6 Pt 2.75-2.78, 2 Ag 2.86


Entry S
DFT (PBE-GGA) results for AgPtRh after structural relaxation.

SG = Imm2

Cell: 4.9154 4.9154 4.9154 Å, 147.09 131.99 59.43°
Closest atoms and distances in Å follow each position.
Atoms (fractional coordinates):
Ag 0.0003 0.0003 0.0000  2 Ag 2.78, 5 Pt 2.80-2.85, 5 Rh 2.80-2.84
Rh 0.6718 0.6718 0.0000  5 Pt 2.78-2.94, 2 Rh 2.78, 5 Ag 2.80-2.84
Pt 0.3278 0.3278 0.0000  5 Rh 2.78-2.94, 2 Pt 2.78, 5 Ag 2.80-2.85


Of them, the most stable is entry Q and the least stable is entry P.


Entry P
DFT (PBE-GGA) results for AgPt4Rh after structural relaxation.

SG = F-43m

Cell: 5.2504 5.2504 5.2504 Å, 60.00 60.00 60.00°
Closest atoms and distances in Å follow each position.
Atoms (fractional coordinates):
Rh 0.2500 0.2500 0.2500  12 Pt 3.08, 4 Ag 3.22
Pt 0.6249 0.1252 0.6249  6 Pt 2.62-2.63
Pt 0.1252 0.6249 0.6249  6 Pt 2.62-2.63
Pt 0.6249 0.6249 0.6249  6 Pt 2.62-2.63
Ag 0.0000 0.0000 0.0000  12 Pt 3.08, 4 Rh 3.22
Pt 0.6249 0.6249 0.1252  6 Pt 2.62-2.63


Entry Q
DFT (PBE-GGA) results for AgPt4Rh after structural relaxation.

SG = P-1

Cell: 5.0257 6.9767 6.9872 Å, 119.95 100.51 100.49°
Closest atoms and distances in Å follow each position.
Atoms (fractional coordinates):
Rh 0.7497 0.9983 0.0000  2 Rh 2.51, 8 Pt 2.70-2.80
Pt 0.5460 0.2943 0.9103  7 Pt 2.65-2.97, 2 Rh 2.70-2.74, 1 Ag 2.92
Pt 0.0452 0.9086 0.2937  7 Pt 2.65-2.96, 2 Rh 2.71-2.75, 1 Ag 2.92
Pt 0.6288 0.1631 0.4198  5 Pt 2.65-2.96, 2 Rh 2.72-2.80, 2 Ag 2.84-2.87
Ag 0.7497 0.5814 0.4196  10 Pt 2.84-3.08, 1 Ag 3.18
Pt 0.9548 0.0914 0.7063  7 Pt 2.65-2.96, 2 Rh 2.71-2.75, 1 Ag 2.92
Pt 0.1282 0.4210 0.1638  5 Pt 2.65-2.97, 2 Rh 2.72-2.79, 2 Ag 2.84-2.87
Pt 0.4540 0.7057 0.0897  7 Pt 2.65-2.97, 2 Rh 2.70-2.74, 1 Ag 2.92
Pt 0.8718 0.5790 0.8362  5 Pt 2.65-2.97, 2 Rh 2.72-2.79, 2 Ag 2.84-2.87
Pt 0.3711 0.8369 0.5802  5 Pt 2.65-2.96, 2 Rh 2.72-2.80, 2 Ag 2.84-2.87
Ag 0.2502 0.4186 0.5804  10 Pt 2.84-3.08, 1 Ag 3.18
Rh 0.2503 0.0017 0.0000  2 Rh 2.51, 8 Pt 2.70-2.80


Of them, the most stable is entry Q and the least stable is entry P.


Entry P
DFT (PBE-GGA) results for AgRu2Pt after structural relaxation.

SG = Immm

Cell: 5.6645 5.6645 5.6645 Å, 151.81 132.04 56.56°
Closest atoms and distances in Å follow each position.
Atoms (fractional coordinates):
Ru 0.0248 0.0248 0.0000  2 Pt 2.64, 6 Ru 2.73-2.76
Pt 0.2500 0.7500 0.5000  4 Ru 2.64, 4 Ag 2.68, 2 Pt 2.76
Ag 0.7500 0.2500 0.5000  4 Pt 2.68, 2 Ag 2.76
Ru 0.4752 0.4752 0.0000  2 Pt 2.64, 6 Ru 2.73-2.76


Entry Q
DFT (PBE-GGA) results for AgRu2Pt after structural relaxation.

SG = Pmmm

Cell: 2.7242 4.0120 5.5874 Å, 90.00 90.00 90.00°
Closest atoms and distances in Å follow each position.
Atoms (fractional coordinates):
Pt 0.5000 0.5000 0.7500  2 Pt 2.72, 8 Ru 2.75, 2 Ag 2.79
Ru 0.0000 0.0000 0.9836  3 Ru 2.61-2.72, 4 Pt 2.75, 4 Ag 2.85
Ag 0.5000 0.5000 0.2500  2 Ag 2.72, 2 Pt 2.79, 8 Ru 2.85
Ru 0.0000 0.0000 0.5164  3 Ru 2.61-2.72, 4 Pt 2.75, 4 Ag 2.85


Of them, the most stable is entry Q and the least stable is entry P.


Entry P
DFT (PBE-GGA) results for AgRu2Pt after structural relaxation.

SG = P4/mmm

Cell: 2.7400 2.7400 8.1585 Å, 90.00 90.00 90.00°
Closest atoms and distances in Å follow each position.
Atoms (fractional coordinates):
Ru 0.0000 0.0000 0.5132  4 Pt 2.74, 4 Ru 2.74, 4 Ag 2.89
Pt 0.5000 0.5000 0.7500  8 Ru 2.74, 4 Pt 2.74
Ru 0.0000 0.0000 0.9868  4 Pt 2.74, 4 Ru 2.74, 4 Ag 2.89
Ag 0.5000 0.5000 0.2500  4 Ag 2.74, 8 Ru 2.89


Entry Q
DFT (PBE-GGA) results for AgRu2Pt after structural relaxation.

SG = F-43m

Cell: 4.4552 4.4552 4.4552 Å, 60.00 60.00 60.00°
Closest atoms and distances in Å follow each position.
Atoms (fractional coordinates):
Pt 0.7500 0.7500 0.7500  4 Ru 2.73, 4 Ag 2.73
Ag 0.5000 0.5000 0.5000  4 Ru 2.73, 4 Pt 2.73
Ru 0.0000 0.0000 0.0000  4 Ru 2.73, 4 Pt 2.73
Ru 0.2500 0.2500 0.2500  4 Ru 2.73, 4 Ag 2.73


Of them, the most stable is entry P and the least stable is entry Q.


Entry P
DFT (PBE-GGA) results for AgRu2Pt after structural relaxation.

SG = P2/m

Cell: 2.7381 4.8383 5.5861 Å, 55.06 90.00 90.00°
Closest atoms and distances in Å follow each position.
Atoms (fractional coordinates):
Ru 0.5000 0.5000 0.0000  6 Ru 2.74-2.78, 4 Pt 2.79, 2 Ag 2.79
Pt 0.0000 0.0000 0.5000  2 Pt 2.74, 4 Ag 2.78, 6 Ru 2.79
Ru 0.0000 0.0000 0.0000  6 Ru 2.74-2.78, 4 Ag 2.79, 2 Pt 2.79
Ag 0.5000 0.5000 0.5000  2 Ag 2.74, 4 Pt 2.78, 6 Ru 2.79


Entry Q
DFT (PBE-GGA) results for AgRu2Pt after structural relaxation.

SG = Cm

Cell: 4.8136 4.8136 4.8689 Å, 80.52 80.52 33.11°
Closest atoms and distances in Å follow each position.
Atoms (fractional coordinates):
Ag 0.4991 0.4991 0.4927  3 Pt 2.71-2.81, 2 Ag 2.74, 7 Ru 2.74-2.88
Ru 0.0042 0.0042 0.9792  5 Ru 2.63-2.77, 4 Ag 2.74-2.84, 3 Pt 2.80-2.86
Ru 0.7412 0.7412 0.7764  5 Ru 2.63-2.77, 4 Pt 2.71-2.88, 3 Ag 2.82-2.88
Pt 0.2555 0.2555 0.2517  3 Ag 2.71-2.81, 7 Ru 2.71-2.88, 2 Pt 2.74


Of them, the most stable is entry Q and the least stable is entry P.


Entry P
DFT (PBE-GGA) results for AgRu2Pt after structural relaxation.

SG = Cmm2

Cell: 2.7257 2.7257 9.5737 Å, 90.00 90.00 118.70°
Closest atoms and distances in Å follow each position.
Atoms (fractional coordinates):
Ru 0.5000 0.5000 0.2351  8 Ru 2.57-2.78, 2 Ag 2.87
Ru 0.0000 0.0000 0.0095  8 Ru 2.57-2.78, 2 Pt 2.78
Pt 0.5000 0.5000 0.7585  6 Pt 2.73-2.78, 2 Ru 2.78, 2 Ag 2.86
Ag 0.0000 0.0000 0.4969  6 Ag 2.73-2.78, 2 Pt 2.86, 2 Ru 2.87


Entry Q
DFT (PBE-GGA) results for AgRu2Pt after structural relaxation.

SG = P-1

Cell: 6.1110 4.9049 2.7257 Å, 90.00 63.59 119.90°
Closest atoms and distances in Å follow each position.
Atoms (fractional coordinates):
Ru 0.5000 0.0000 0.5000  4 Ru 2.73-2.74, 4 Pt 2.81, 4 Ag 2.81
Ag 0.0000 0.5000 0.5000  2 Ag 2.73, 2 Pt 2.74, 8 Ru 2.81
Pt 0.5000 0.5000 0.0000  2 Pt 2.73, 2 Ag 2.74, 8 Ru 2.81
Ru 0.0000 0.0000 0.0000  4 Ru 2.73-2.74, 4 Ag 2.81, 4 Pt 2.81


Of them, the most stable is entry P and the least stable is entry Q.


Entry P
DFT (PBE-GGA) results for AgRu2Pt after structural relaxation.

SG = Fm-3m

Cell: 4.4300 4.4300 4.4300 Å, 60.00 60.00 60.00°
Closest atoms and distances in Å follow each position.
Atoms (fractional coordinates):
Pt 0.5000 0.5000 0.5000  8 Ru 2.71
Ru 0.2500 0.2500 0.2500  4 Pt 2.71, 4 Ag 2.71
Ag 0.0000 0.0000 0.0000  8 Ru 2.71
Ru 0.7500 0.7500 0.7500  4 Pt 2.71, 4 Ag 2.71


Entry Q
DFT (PBE-GGA) results for AgRu2Pt after structural relaxation.

SG = P4/mmm

Cell: 4.0710 3.8737 3.8737 Å, 90.00 90.00 90.00°
Closest atoms and distances in Å follow each position.
Atoms (fractional coordinates):
Ag 0.5000 0.5000 0.0000  4 Pt 2.74, 8 Ru 2.81
Pt 0.5000 0.0000 0.5000  4 Ag 2.74, 8 Ru 2.81
Ru 0.0000 0.5000 0.5000  4 Ru 2.74, 4 Pt 2.81, 4 Ag 2.81
Ru 0.0000 0.0000 0.0000  4 Ru 2.74, 4 Pt 2.81, 4 Ag 2.81


Of them, the most stable is entry Q and the least stable is entry P.


Entry P
DFT (PBE-GGA) results for AgRu2Pt after structural relaxation.

SG = Pmm2

Cell: 2.7697 3.8257 5.7637 Å, 90.00 90.00 90.00°
Closest atoms and distances in Å follow each position.
Atoms (fractional coordinates):
Ru 0.0000 0.0000 0.0189  6 Ru 2.64-2.77, 1 Ag 2.77, 4 Pt 2.80
Ag 0.0000 0.0000 0.4989  6 Ru 2.77-3.00, 2 Ag 2.77, 4 Pt 2.80
Pt 0.5000 0.5000 0.7595  5 Ru 2.67-2.80, 2 Pt 2.77, 4 Ag 2.80
Ru 0.5000 0.5000 0.2227  6 Ru 2.64-2.77, 1 Pt 2.67, 4 Ag 2.85


Entry Q
DFT (PBE-GGA) results for AgRu2Pt after structural relaxation.

SG = Imm2

Cell: 5.5454 5.5454 5.5454 Å, 151.35 129.53 59.06°
Closest atoms and distances in Å follow each position.
Atoms (fractional coordinates):
Ru 0.7715 0.2715 0.5000  4 Ru 2.50-2.74, 4 Pt 2.76
Ru 0.9875 0.9875 0.0000  4 Ru 2.50-2.74, 4 Ag 2.74, 2 Pt 2.75
Pt 0.2350 0.7350 0.5000  2 Pt 2.74, 6 Ru 2.75-2.76, 2 Ag 2.95
Ag 0.5061 0.5061 0.0000  6 Ru 2.74-2.91, 2 Ag 2.74, 2 Pt 2.95


Of them, the most stable is entry P and the least stable is entry Q.


Entry P
DFT (PBE-GGA) results for AgRu2Pt after structural relaxation.

SG = I-4m2

Cell: 4.8235 4.8235 4.8235 Å, 132.19 132.19 69.93°
Closest atoms and distances in Å follow each position.
Atoms (fractional coordinates):
Ag 0.5000 0.5000 0.0000  8 Ru 2.76-2.78, 4 Pt 2.78
Pt 0.7500 0.2500 0.5000  8 Ru 2.76-2.78, 4 Ag 2.78
Ru 0.0000 0.0000 0.0000  4 Ag 2.76, 4 Ru 2.78, 4 Pt 2.78
Ru 0.2500 0.7500 0.5000  4 Pt 2.76, 4 Ru 2.78, 4 Ag 2.78


Entry Q
DFT (PBE-GGA) results for AgRu2Pt after structural relaxation.

SG = R-3m

Cell: 9.4278 9.4278 9.4278 Å, 16.78 16.78 16.78°
Closest atoms and distances in Å follow each position.
Atoms (fractional coordinates):
Ru 0.4967 0.4967 0.4967  3 Pt 2.74, 6 Ru 2.75, 3 Ag 2.89
Ag 0.2500 0.2500 0.2500  6 Ag 2.75, 6 Ru 2.89
Ru 0.0033 0.0033 0.0033  3 Pt 2.74, 6 Ru 2.75, 3 Ag 2.89
Pt 0.7500 0.7500 0.7500  6 Ru 2.74, 6 Pt 2.75


Of them, the most stable is entry Q and the least stable is entry P.


Entry P
DFT (PBE-GGA) results for AgRu2Pt after structural relaxation.

SG = R3m

Cell: 9.3664 9.3664 9.3664 Å, 17.00 17.00 17.00°
Closest atoms and distances in Å follow each position.
Atoms (fractional coordinates):
Ag 0.5014 0.5014 0.5014  6 Ag 2.77, 3 Pt 2.92, 3 Ru 2.93
Pt 0.7463 0.7463 0.7463  6 Pt 2.77, 3 Ru 2.83, 3 Ag 2.92
Ru 0.9955 0.9955 0.9955  9 Ru 2.55-2.77, 3 Pt 2.83
Ru 0.2569 0.2569 0.2569  9 Ru 2.55-2.77


Entry Q
DFT (PBE-GGA) results for AgRu2Pt after structural relaxation.

SG = I4/mmm

Cell: 4.8753 4.8753 4.8753 Å, 133.16 133.16 68.41°
Closest atoms and distances in Å follow each position.
Atoms (fractional coordinates):
Ru 0.5000 0.5000 0.0000  4 Ru 2.74, 4 Ag 2.80, 4 Pt 2.80
Ru 0.0000 0.0000 0.0000  4 Ru 2.74, 4 Pt 2.80, 4 Ag 2.80
Ag 0.2500 0.7500 0.5000  4 Pt 2.74, 8 Ru 2.80
Pt 0.7500 0.2500 0.5000  4 Ag 2.74, 8 Ru 2.80


Of them, the most stable is entry P and the least stable is entry Q.


Entry P
DFT (PBE-GGA) results for AgRu2Pt after structural relaxation.

SG = C2/m

Cell: 4.8247 4.8247 4.8657 Å, 80.88 80.88 33.07°
Closest atoms and distances in Å follow each position.
Atoms (fractional coordinates):
Ru 0.5077 0.5077 0.4835  6 Ru 2.68-2.92, 3 Pt 2.71-2.80, 3 Ag 2.77-2.87
Pt 0.2500 0.2500 0.2500  6 Ru 2.71-2.80, 2 Pt 2.75, 4 Ag 2.79
Ag 0.7500 0.7500 0.7500  2 Ag 2.75, 6 Ru 2.77-2.87, 4 Pt 2.79
Ru 0.9923 0.9923 0.0165  6 Ru 2.68-2.92, 3 Pt 2.71-2.80, 3 Ag 2.77-2.87


Entry Q
DFT (PBE-GGA) results for AgRu2Pt after structural relaxation.

SG = P4mm

Cell: 2.7659 2.7659 8.0055 Å, 90.00 90.00 90.00°
Closest atoms and distances in Å follow each position.
Atoms (fractional coordinates):
Ru 0.0000 0.0000 0.0138  8 Ru 2.58-2.77, 4 Pt 2.79
Ru 0.5000 0.5000 0.2248  8 Ru 2.58-2.77
Ag 0.0000 0.0000 0.4954  4 Ag 2.77, 4 Pt 2.92, 4 Ru 2.92
Pt 0.5000 0.5000 0.7660  4 Pt 2.77, 4 Ru 2.79, 4 Ag 2.92


Of them, the most stable is entry Q and the least stable is entry P.